Below is a relaxed HoSnHgCl6 crystal, with properties calculated at the GGA-PBE level.

**V**: 41.76 Å³ per atom
**Energy relative to the elements, uncorrected**: -1.37 eV per atom
**Crystal system**: trigonal
**Total moment**: 0.042 μB/atom
**VASP energy**: -3.58 eV/atom

a b c (Å): 6.9188 6.9188 9.0657
angles (deg): 90.00 90.00 120.00
Space group P312 (No. 149)
Inequivalent atoms, fractional coordinates:
Ho: 0.0000 0.0000 0.0000 (multiplicity 1)
Sn: 0.6667 0.3333 0.0000 (multiplicity 1)
Hg: 0.3333 0.6667 0.5000 (multiplicity 1)
Cl: 0.3323 0.0381 0.1665 (multiplicity 6)